VASP calculation (GGA-PBE) on a geometry-optimized LaSc2Ta structure.

Results
magnetic moment: 0.00 μB per cell
uncorrected energy: -6.9828 eV per atom
energy relative to the elements: 1.51 eV per formula unit

Unit cell a=7.2722 b=7.2722 c=7.2722 alpha=90.00 beta=90.00 gamma=90.00
Closest atoms and distances in Å follow each position.
Space group F-43m (No. 216)
One atom of each set of equivalent atoms:
La1 0.0000 0.0000 0.0000 x4  4 Sc 3.15, 4 Ta 3.15
Sc1 0.0000 0.0000 0.5000 x4  4 Ta 3.15, 4 Sc 3.15
Sc2 0.2500 0.2500 0.7500 x4  4 La 3.15, 4 Sc 3.15
Ta1 0.2500 0.2500 0.2500 x4  4 La 3.15, 4 Sc 3.15


VASP calculation (GGA-PBE) on a geometry-optimized DyHoFeHg structure.

Results
magnetic moment: 6.26 μB per cell
uncorrected energy: -4.5806 eV per atom
energy relative to the elements: -0.38 eV per formula unit

Unit cell a=7.1355 b=7.1355 c=7.1355 alpha=90.00 beta=90.00 gamma=90.00
Closest atoms and distances in Å follow each position.
Space group F-43m (No. 216)
One atom of each set of equivalent atoms:
Dy1 0.0000 0.0000 0.0000 x4  4 Hg 3.09, 4 Fe 3.09
Ho1 0.0000 0.0000 0.5000 x4  4 Hg 3.09, 4 Fe 3.09
Fe1 0.2500 0.2500 0.2500 x4  4 Dy 3.09, 4 Ho 3.09
Hg1 0.2500 0.2500 0.7500 x4  4 Dy 3.09, 4 Ho 3.09


VASP calculation (GGA-PBE) on a geometry-optimized In2Hg structure.

Results
magnetic moment: 0.00 μB per cell
uncorrected energy: -1.8812 eV per atom
E above lowest polymorph: 43 meV/atom
energy relative to the elements: 0.14 eV per formula unit

Unit cell a=13.8184 b=13.8184 c=13.8184 alpha=90.00 beta=90.00 gamma=90.00
Closest atoms and distances in Å follow each position.
Space group Fd-3m (No. 227, origin choice 2)
One atom of each set of equivalent atoms:
In1 0.0000 0.0000 0.0000 x16  6 Hg 3.06
In2 0.0610 0.3750 0.8750 x48  2 Hg 3.12
Hg1 0.0334 0.0334 0.2166 x32  6 In 3.06-3.12


VASP calculation (GGA-PBE) on a geometry-optimized Pr3SmPb5 structure.

Results
magnetic moment: 0.00 μB per cell
uncorrected energy: -4.6610 eV per atom
energy relative to the elements: -4.35 eV per formula unit

Unit cell a=9.8126 b=9.8126 c=6.6737 alpha=90.00 beta=90.00 gamma=120.00
Closest atoms and distances in Å follow each position.
Space group P6_3/mcm (No. 193)
One atom of each set of equivalent atoms:
Pr1 0.0000 0.3803 0.2500 x6  9 Pb 3.27-3.49
Sm1 0.0000 0.0000 0.0000 x2  6 Pb 3.27, 2 Sm 3.34
Pb1 0.0000 0.2868 0.7500 x6  5 Pr 3.27-3.46, 2 Sm 3.27
Pb2 0.3333 0.6667 0.0000 x4  2 Pb 3.34, 6 Pr 3.49


VASP calculation (GGA-PBE) on a geometry-optimized TbCo22B6 structure.

Results
magnetic moment: 107.67 μB per cell
uncorrected energy: -7.0349 eV per atom
energy relative to the elements: -2.99 eV per formula unit

Unit cell a=10.5575 b=10.5575 c=10.5575 alpha=90.00 beta=90.00 gamma=90.00
Closest atoms and distances in Å follow each position.
Space group Fm-3m (No. 225)
One atom of each set of equivalent atoms:
Tb1 0.0000 0.0000 0.0000 x4  12 Co 2.61, 6 B 2.88
Co1 0.0000 0.1745 0.1745 x48  2 B 2.12, 1 Co 2.25
Co2 0.1186 0.1186 0.3814 x32  3 B 2.11
Co3 0.2500 0.2500 0.2500 x8  4 Co 2.40
B1 0.0000 0.0000 0.2730 x24  8 Co 2.11-2.12


VASP calculation (GGA-PBE) on a geometry-optimized KIn6Au12 structure.

Results
magnetic moment: 0.00 μB per cell
uncorrected energy: -3.1499 eV per atom
E above lowest polymorph: 0 meV/atom
energy relative to the elements: -2.99 eV per formula unit

Unit cell a=13.1580 b=13.1580 c=8.2633 alpha=90.00 beta=90.00 gamma=120.00
Closest atoms and distances in Å follow each position.
Space group R-3 (No. 148, hexagonal axes)
One atom of each set of equivalent atoms:
K1 0.0000 0.0000 0.0000 x3  12 Au 3.43-3.61, 6 In 3.71
In1 0.0247 0.7744 0.7609 x18  6 Au 2.82-2.96
Au1 0.0185 0.8788 0.3590 x18  6 Au 2.83-2.99, 2 In 2.85-2.95
Au2 0.0301 0.5629 0.7678 x18  4 In 2.82-2.96, 2 Au 2.83-2.86